Entry 1:
The following is a PBE calculation of ErPu5Ru6 after structural relaxation, from the Alexandria database.

a b c (Å): 4.679 14.662 6.748
angles (deg): 90.00 90.00 90.00
Space group Cmmm (No. 65)
Asymmetric unit:
1 Er 0.000 0.000 0.000
2 Pu 0.000 0.000 0.500
3 Pu 0.000 0.334 0.000
4 Pu 0.000 0.335 0.500
5 Ru 0.000 0.172 0.247
6 Ru 0.000 0.500 0.263

Calculated values
Calculated total energy in eV per atom: -11.1391

Entry 2:
The following is a PBE calculation of Ho2BeIr2 after structural relaxation, from the Alexandria database.

a b c (Å): 10.039 5.408 7.147
angles (deg): 90.00 102.76 90.00
Space group C2/c (No. 15)
Asymmetric unit:
1 Ho 0.146 0.136 0.147
2 Be 0.000 0.406 0.750
3 Ir 0.128 0.366 0.511

Calculated values
Calculated total energy in eV per atom: -6.8937

Entry 3:
The following is a PBE calculation of Cs2NdNp2S6 after structural relaxation, from the Alexandria database.

a b c (Å): 7.088 12.336 8.553
angles (deg): 90.00 105.64 90.00
Space group C2/m (No. 12)
Asymmetric unit:
1 Cs 0.000 0.165 0.000
2 Nd 0.000 0.000 0.500
3 Np 0.000 0.334 0.500
4 S 0.212 0.500 0.677
5 S 0.229 0.174 0.676

Calculated values
ΔE_f (raw) in eV/atom: -1.55

Please write out number 2 again, unchanged.
The following is a PBE calculation of Ho2BeIr2 after structural relaxation, from the Alexandria database.

a b c (Å): 10.039 5.408 7.147
angles (deg): 90.00 102.76 90.00
Space group C2/c (No. 15)
Asymmetric unit:
1 Ho 0.146 0.136 0.147
2 Be 0.000 0.406 0.750
3 Ir 0.128 0.366 0.511

Calculated values
Calculated total energy in eV per atom: -6.8937

> What is the formula in the third record?

Cs2NdNp2S6